Here is a relaxed Ba2MgPb crystal from the Alexandria database. Energies are from GGA-PBE.

## Properties
Calculated volume, Å³ per cell: 180.9
Calculated formation energy, eV per atom: -0.07
Calculated density, kg/m³: 4647
Raw total energy, eV for the cell shown: -9.44
SG: R-3m, No. 166
DOS at the Fermi energy, states/eV per atom: 1.3616

Cell: 11.230 11.230 11.230 Å, 22.43 22.43 22.43°
Fractional coordinates of all 4 atoms:
Ba: 0.244 0.244 0.244
Ba: 0.756 0.756 0.756
Mg: 0.000 0.000 0.000
Pb: 0.500 0.500 0.500